1.
A geometry-optimized NaTb3Co structure. Source: Alexandria, functional PBE.

Results
Energy of formation (eV per atom): 0.026

CIF file:
```
data_NaTb3Co
_space_group_name_H-M_alt 'P m -3 m'
_space_group_IT_number 221
_space_group_name_Hall '-P 4 2 3'
_cell_length_a 5.3152
_cell_length_b 5.3152
_cell_length_c 5.3152
_cell_angle_alpha 90.00
_cell_angle_beta 90.00
_cell_angle_gamma 90.00
loop_
_atom_site_label
_atom_site_type_symbol
_atom_site_fract_x
_atom_site_fract_y
_atom_site_fract_z
_atom_site_occupancy
Na1 Na 0.0000 0.0000 0.0000 1
Tb1 Tb 0.0000 0.5000 0.5000 1
Co1 Co 0.5000 0.5000 0.5000 1
```

---

2.
A geometry-optimized NaCo3Tc structure. Source: Alexandria, functional PBE.

Results
Energy of formation (eV per atom): 1.205

CIF file:
```
data_NaCo3Tc
_space_group_name_H-M_alt 'P m -3 m'
_space_group_IT_number 221
_space_group_name_Hall '-P 4 2 3'
_cell_length_a 4.4960
_cell_length_b 4.4960
_cell_length_c 4.4960
_cell_angle_alpha 90.00
_cell_angle_beta 90.00
_cell_angle_gamma 90.00
loop_
_atom_site_label
_atom_site_type_symbol
_atom_site_fract_x
_atom_site_fract_y
_atom_site_fract_z
_atom_site_occupancy
Na1 Na 0.0000 0.0000 0.0000 1
Co1 Co 0.0000 0.5000 0.5000 1
Tc1 Tc 0.5000 0.5000 0.5000 1
```

---

3.
A geometry-optimized NaCo2TcTe structure. Source: Alexandria, functional PBE.

Results
Uncorrected formation energy (eV per atom): 1.24

CIF file:
```
data_NaCo2TcTe
_space_group_name_H-M_alt 'P 4/m m m'
_space_group_IT_number 123
_space_group_name_Hall '-P 4 2'
_cell_length_a 4.4469
_cell_length_b 4.4469
_cell_length_c 5.2408
_cell_angle_alpha 90.00
_cell_angle_beta 90.00
_cell_angle_gamma 90.00
loop_
_atom_site_label
_atom_site_type_symbol
_atom_site_fract_x
_atom_site_fract_y
_atom_site_fract_z
_atom_site_occupancy
Na1 Na 0.0000 0.0000 0.0000 1
Co1 Co 0.0000 0.5000 0.5000 1
Tc1 Tc 0.0000 0.0000 0.5000 1
Te1 Te 0.5000 0.5000 0.0000 1
```

---

4.
A geometry-optimized NaVCo2Tc structure. Source: Alexandria, functional PBE.

Results
Energy of formation (eV per atom): 1.148

CIF file:
```
data_NaVCo2Tc
_space_group_name_H-M_alt 'P 4/m m m'
_space_group_IT_number 123
_space_group_name_Hall '-P 4 2'
_cell_length_a 4.6121
_cell_length_b 4.6121
_cell_length_c 4.4362
_cell_angle_alpha 90.00
_cell_angle_beta 90.00
_cell_angle_gamma 90.00
loop_
_atom_site_label
_atom_site_type_symbol
_atom_site_fract_x
_atom_site_fract_y
_atom_site_fract_z
_atom_site_occupancy
Na1 Na 0.0000 0.0000 0.0000 1
V1 V 0.5000 0.5000 0.0000 1
Co1 Co 0.0000 0.5000 0.5000 1
Tc1 Tc 0.5000 0.5000 0.5000 1
```

---

5.
A geometry-optimized Na2ZnCoTc structure. Source: Alexandria, functional PBE.

Results
Energy of formation (eV per atom): 1.030

CIF file:
```
data_Na2ZnCoTc
_space_group_name_H-M_alt 'P 4/m m m'
_space_group_IT_number 123
_space_group_name_Hall '-P 4 2'
_cell_length_a 5.2816
_cell_length_b 5.2816
_cell_length_c 4.3334
_cell_angle_alpha 90.00
_cell_angle_beta 90.00
_cell_angle_gamma 90.00
loop_
_atom_site_label
_atom_site_type_symbol
_atom_site_fract_x
_atom_site_fract_y
_atom_site_fract_z
_atom_site_occupancy
Na1 Na 0.0000 0.5000 0.0000 1
Zn1 Zn 0.0000 0.0000 0.5000 1
Co1 Co 0.5000 0.5000 0.0000 1
Tc1 Tc 0.5000 0.5000 0.5000 1
```

---

6.
A geometry-optimized NaZrCoTc2 structure. Source: Alexandria, functional PBE.

Results
Energy of formation (eV per atom): 0.953

CIF file:
```
data_NaZrCoTc2
_space_group_name_H-M_alt 'P 4/m m m'
_space_group_IT_number 123
_space_group_name_Hall '-P 4 2'
_cell_length_a 4.5223
_cell_length_b 4.5223
_cell_length_c 4.7912
_cell_angle_alpha 90.00
_cell_angle_beta 90.00
_cell_angle_gamma 90.00
loop_
_atom_site_label
_atom_site_type_symbol
_atom_site_fract_x
_atom_site_fract_y
_atom_site_fract_z
_atom_site_occupancy
Na1 Na 0.0000 0.0000 0.0000 1
Zr1 Zr 0.5000 0.5000 0.0000 1
Co1 Co 0.5000 0.5000 0.5000 1
Tc1 Tc 0.0000 0.5000 0.5000 1
```

---

7.
A geometry-optimized NaCoTe3 structure. Source: Alexandria, functional PBE.

Results
Uncorrected formation energy (eV per atom): 1.14

CIF file:
```
data_NaCoTe3
_space_group_name_H-M_alt 'P m -3 m'
_space_group_IT_number 221
_space_group_name_Hall '-P 4 2 3'
_cell_length_a 5.4381
_cell_length_b 5.4381
_cell_length_c 5.4381
_cell_angle_alpha 90.00
_cell_angle_beta 90.00
_cell_angle_gamma 90.00
loop_
_atom_site_label
_atom_site_type_symbol
_atom_site_fract_x
_atom_site_fract_y
_atom_site_fract_z
_atom_site_occupancy
Na1 Na 0.0000 0.0000 0.0000 1
Co1 Co 0.5000 0.5000 0.5000 1
Te1 Te 0.0000 0.0000 0.5000 1
```

---

8.
A geometry-optimized NaCo2Te2 structure. Source: Alexandria, functional PBE.

Results
Uncorrected formation energy (eV per atom): -0.21

CIF file:
```
data_NaCo2Te2
_space_group_name_H-M_alt 'I 4/m m m'
_space_group_IT_number 139
_space_group_name_Hall '-I 4 2'
_cell_length_a 3.8233
_cell_length_b 3.8233
_cell_length_c 14.8309
_cell_angle_alpha 90.00
_cell_angle_beta 90.00
_cell_angle_gamma 90.00
loop_
_atom_site_label
_atom_site_type_symbol
_atom_site_fract_x
_atom_site_fract_y
_atom_site_fract_z
_atom_site_occupancy
Na1 Na 0.0000 0.0000 0.0000 1
Co1 Co 0.0000 0.5000 0.2500 1
Te1 Te 0.0000 0.0000 0.3586 1
```

---

9.
A geometry-optimized NaCo3Te structure. Source: Alexandria, functional PBE.

Results
Uncorrected formation energy (eV per atom): 1.66

CIF file:
```
data_NaCo3Te
_space_group_name_H-M_alt 'P m -3 m'
_space_group_IT_number 221
_space_group_name_Hall '-P 4 2 3'
_cell_length_a 4.4819
_cell_length_b 4.4819
_cell_length_c 4.4819
_cell_angle_alpha 90.00
_cell_angle_beta 90.00
_cell_angle_gamma 90.00
loop_
_atom_site_label
_atom_site_type_symbol
_atom_site_fract_x
_atom_site_fract_y
_atom_site_fract_z
_atom_site_occupancy
Na1 Na 0.0000 0.0000 0.0000 1
Co1 Co 0.0000 0.0000 0.5000 1
Te1 Te 0.5000 0.5000 0.5000 1
```

---

10.
A geometry-optimized Na3CoTe structure. Source: Alexandria, functional PBE.

Results
Uncorrected formation energy (eV per atom): 0.31

CIF file:
```
data_Na3CoTe
_space_group_name_H-M_alt 'P m -3 m'
_space_group_IT_number 221
_space_group_name_Hall '-P 4 2 3'
_cell_length_a 5.8596
_cell_length_b 5.8596
_cell_length_c 5.8596
_cell_angle_alpha 90.00
_cell_angle_beta 90.00
_cell_angle_gamma 90.00
loop_
_atom_site_label
_atom_site_type_symbol
_atom_site_fract_x
_atom_site_fract_y
_atom_site_fract_z
_atom_site_occupancy
Na1 Na 0.0000 0.0000 0.5000 1
Co1 Co 0.5000 0.5000 0.5000 1
Te1 Te 0.0000 0.0000 0.0000 1
```

---

11.
A geometry-optimized NaCoTe3 structure. Source: Alexandria, functional PBE.

Results
Uncorrected formation energy (eV per atom): 0.03

CIF file:
```
data_NaCoTe3
_space_group_name_H-M_alt 'P m -3 m'
_space_group_IT_number 221
_space_group_name_Hall '-P 4 2 3'
_cell_length_a 5.1664
_cell_length_b 5.1664
_cell_length_c 5.1664
_cell_angle_alpha 90.00
_cell_angle_beta 90.00
_cell_angle_gamma 90.00
loop_
_atom_site_label
_atom_site_type_symbol
_atom_site_fract_x
_atom_site_fract_y
_atom_site_fract_z
_atom_site_occupancy
Na1 Na 0.0000 0.0000 0.0000 1
Co1 Co 0.5000 0.5000 0.5000 1
Te1 Te 0.0000 0.5000 0.5000 1
```

---

12.
A geometry-optimized NaCo3Te structure. Source: Alexandria, functional PBE.

Results
Uncorrected formation energy (eV per atom): 0.88

CIF file:
```
data_NaCo3Te
_space_group_name_H-M_alt 'P m -3 m'
_space_group_IT_number 221
_space_group_name_Hall '-P 4 2 3'
_cell_length_a 4.7447
_cell_length_b 4.7447
_cell_length_c 4.7447
_cell_angle_alpha 90.00
_cell_angle_beta 90.00
_cell_angle_gamma 90.00
loop_
_atom_site_label
_atom_site_type_symbol
_atom_site_fract_x
_atom_site_fract_y
_atom_site_fract_z
_atom_site_occupancy
Na1 Na 0.0000 0.0000 0.0000 1
Co1 Co 0.0000 0.5000 0.5000 1
Te1 Te 0.5000 0.5000 0.5000 1
```

---

13.
A geometry-optimized Na2CoTe2 structure. Source: Alexandria, functional PBE.

Results
Uncorrected formation energy (eV per atom): -0.26

CIF file:
```
data_Na2CoTe2
_space_group_name_H-M_alt 'P 4/m b m'
_space_group_IT_number 127
_space_group_name_Hall '-P 4 2ab'
_cell_length_a 7.1051
_cell_length_b 7.1051
_cell_length_c 4.9861
_cell_angle_alpha 90.00
_cell_angle_beta 90.00
_cell_angle_gamma 90.00
loop_
_atom_site_label
_atom_site_type_symbol
_atom_site_fract_x
_atom_site_fract_y
_atom_site_fract_z
_atom_site_occupancy
Na1 Na 0.1566 0.3434 0.0000 1
Co1 Co 0.0000 0.0000 0.5000 1
Te1 Te 0.1696 0.6696 0.5000 1
```

---

14.
A geometry-optimized NaCoTe structure. Source: Alexandria, functional PBE.

Results
Uncorrected formation energy (eV per atom): -0.27

CIF file:
```
data_NaCoTe
_space_group_name_H-M_alt 'P 4/n m m'
_space_group_IT_number 129
_cell_length_a 4.2646
_cell_length_b 4.2646
_cell_length_c 7.0726
_cell_angle_alpha 90.00
_cell_angle_beta 90.00
_cell_angle_gamma 90.00
loop_
_space_group_symop_operation_xyz
'x,y,z'
'-x,-y,-z'
'-y+1/2,x,z'
'y+1/2,-x,-z'
'-x+1/2,-y+1/2,z'
'x+1/2,y+1/2,-z'
'y,-x+1/2,z'
'-y,x+1/2,-z'
'x+1/2,-y,-z'
'-x+1/2,y,z'
'-y,-x,-z'
'y,x,z'
'-x,y+1/2,-z'
'x,-y+1/2,z'
'y+1/2,x+1/2,-z'
'-y+1/2,-x+1/2,z'
loop_
_atom_site_label
_atom_site_type_symbol
_atom_site_fract_x
_atom_site_fract_y
_atom_site_fract_z
_atom_site_occupancy
Na1 Na 0.2500 0.2500 0.1691 1
Co1 Co 0.2500 0.7500 0.5000 1
Te1 Te 0.2500 0.2500 0.7040 1
```

---

15.
A geometry-optimized NaTiCoTe3 structure. Source: Alexandria, functional PBE.

Results
Uncorrected formation energy (eV per atom): -0.57

CIF file:
```
data_NaTiCoTe3
_space_group_name_H-M_alt 'P 1 21/m 1'
_space_group_IT_number 11
_space_group_name_Hall '-P 2yb'
_cell_length_a 8.6001
_cell_length_b 3.7932
_cell_length_c 10.1979
_cell_angle_alpha 90.00
_cell_angle_beta 112.67
_cell_angle_gamma 90.00
loop_
_atom_site_label
_atom_site_type_symbol
_atom_site_fract_x
_atom_site_fract_y
_atom_site_fract_z
_atom_site_occupancy
Na1 Na 0.2429 0.2500 0.2294 1
Ti1 Ti 0.2079 0.7500 0.6820 1
Co1 Co 0.4193 0.2500 0.9050 1
Te1 Te 0.0567 0.7500 0.3731 1
Te2 Te 0.2579 0.7500 0.9628 1
Te3 Te 0.4225 0.2500 0.6541 1
```

---

16.
A geometry-optimized NaVCoTe3 structure. Source: Alexandria, functional PBE.

Results
Uncorrected formation energy (eV per atom): -0.38

CIF file:
```
data_NaVCoTe3
_space_group_name_H-M_alt 'P 1 21/m 1'
_space_group_IT_number 11
_space_group_name_Hall '-P 2yb'
_cell_length_a 8.5102
_cell_length_b 3.7478
_cell_length_c 10.1246
_cell_angle_alpha 90.00
_cell_angle_beta 112.72
_cell_angle_gamma 90.00
loop_
_atom_site_label
_atom_site_type_symbol
_atom_site_fract_x
_atom_site_fract_y
_atom_site_fract_z
_atom_site_occupancy
Na1 Na 0.2364 0.2500 0.2179 1
V1 V 0.2044 0.7500 0.6768 1
Co1 Co 0.4256 0.2500 0.9062 1
Te1 Te 0.0565 0.7500 0.3756 1
Te2 Te 0.2499 0.7500 0.9521 1
Te3 Te 0.4195 0.2500 0.6534 1
```

---

17.
A geometry-optimized NaZr2CoTe structure. Source: Alexandria, functional PBE.

Results
Uncorrected formation energy (eV per atom): 0.11

CIF file:
```
data_NaZr2CoTe
_space_group_name_H-M_alt 'P 4/m m m'
_space_group_IT_number 123
_space_group_name_Hall '-P 4 2'
_cell_length_a 4.7503
_cell_length_b 4.7503
_cell_length_c 5.2621
_cell_angle_alpha 90.00
_cell_angle_beta 90.00
_cell_angle_gamma 90.00
loop_
_atom_site_label
_atom_site_type_symbol
_atom_site_fract_x
_atom_site_fract_y
_atom_site_fract_z
_atom_site_occupancy
Na1 Na 0.0000 0.0000 0.0000 1
Zr1 Zr 0.0000 0.5000 0.5000 1
Co1 Co 0.0000 0.0000 0.5000 1
Te1 Te 0.5000 0.5000 0.0000 1
```

---

18.
A geometry-optimized NaTh2Co structure. Source: Alexandria, functional PBE.

Results
Energy of formation (eV per atom): 0.051

CIF file:
```
data_NaTh2Co
_space_group_name_H-M_alt 'R -3 m'
_space_group_IT_number 166
_space_group_name_Hall '-R 3 2"'
_cell_length_a 3.8243
_cell_length_b 3.8243
_cell_length_c 31.6662
_cell_angle_alpha 90.00
_cell_angle_beta 90.00
_cell_angle_gamma 120.00
loop_
_atom_site_label
_atom_site_type_symbol
_atom_site_fract_x
_atom_site_fract_y
_atom_site_fract_z
_atom_site_occupancy
Na1 Na 0.0000 0.0000 0.0000 1
Th1 Th 0.0000 0.0000 0.1177 1
Co1 Co 0.0000 0.0000 0.5000 1
```

---

19.
A geometry-optimized NaTiCo2 structure. Source: Alexandria, functional PBE.

Results
Energy of formation (eV per atom): 0.677

CIF file:
```
data_NaTiCo2
_space_group_name_H-M_alt 'I -4 2 d'
_space_group_IT_number 122
_space_group_name_Hall 'I -4 2bw'
_cell_length_a 6.7046
_cell_length_b 6.7046
_cell_length_c 5.4112
_cell_angle_alpha 90.00
_cell_angle_beta 90.00
_cell_angle_gamma 90.00
loop_
_atom_site_label
_atom_site_type_symbol
_atom_site_fract_x
_atom_site_fract_y
_atom_site_fract_z
_atom_site_occupancy
Na1 Na 0.0000 0.0000 0.0000 1
Ti1 Ti 0.0000 0.0000 0.5000 1
Co1 Co 0.2164 0.2500 0.6250 1
```

---

20.
A geometry-optimized NaTi2Co structure. Source: Alexandria, functional PBE.

Results
Energy of formation (eV per atom): 0.567

CIF file:
```
data_NaTi2Co
_space_group_name_H-M_alt 'I -4 2 d'
_space_group_IT_number 122
_space_group_name_Hall 'I -4 2bw'
_cell_length_a 7.0546
_cell_length_b 7.0546
_cell_length_c 5.6639
_cell_angle_alpha 90.00
_cell_angle_beta 90.00
_cell_angle_gamma 90.00
loop_
_atom_site_label
_atom_site_type_symbol
_atom_site_fract_x
_atom_site_fract_y
_atom_site_fract_z
_atom_site_occupancy
Na1 Na 0.0000 0.0000 0.0000 1
Ti1 Ti 0.1920 0.7500 0.6250 1
Co1 Co 0.0000 0.0000 0.5000 1
```